! Al5VIr4, relaxed, DFT PBE; values from VASP
! Energy relative to the elements = -0.784 eV/atom
! Space-group type = P4/mmm (123)
&SYSTEM
  ibrav = 0, nat = 10, ntyp = 3
/
ATOMIC_SPECIES
Al 26.98 Al.upf
V 50.94 V.upf
Ir 192.22 Ir.upf
CELL_PARAMETERS angstrom
2.967 0.000 0.000
0.000 2.967 0.000
0.000 0.000 15.801
ATOMIC_POSITIONS crystal
Al 0.000 0.000 0.000
Al 0.000 0.000 0.196
Al 0.000 0.000 0.391
Al 0.000 0.000 0.609
Al 0.000 0.000 0.804
V 0.500 0.500 0.500
Ir 0.500 0.500 0.097
Ir 0.500 0.500 0.292
Ir 0.500 0.500 0.708
Ir 0.500 0.500 0.903

=====

! UNiPb2, relaxed, DFT PBE; values from VASP
! Energy relative to the elements = 0.496 eV/atom
! Space-group type = R-3m (166)
&SYSTEM
  ibrav = 0, nat = 4, ntyp = 3
/
ATOMIC_SPECIES
U 238.03 U.upf
Ni 58.69 Ni.upf
Pb 207.20 Pb.upf
CELL_PARAMETERS angstrom
1.626 0.939 10.583
-1.626 0.939 10.583
0.000 -1.878 10.583
ATOMIC_POSITIONS crystal
U 0.000 0.000 0.000
Ni 0.500 0.500 0.500
Pb 0.103 0.103 0.103
Pb 0.897 0.897 0.897

=====

! BaCa3Al8, relaxed, DFT PBE; values from VASP
! Energy relative to the elements = -0.275 eV/atom
! Space-group type = R3m (160)
! Energy relative to the lowest polymorph listed for this composition = 0.0000 eV per atom
&SYSTEM
  ibrav = 0, nat = 12, ntyp = 3
/
ATOMIC_SPECIES
Ba 137.33 Ba.upf
Ca 40.08 Ca.upf
Al 26.98 Al.upf
CELL_PARAMETERS angstrom
2.878 1.662 9.467
-2.878 1.662 9.467
0.000 -3.323 9.467
ATOMIC_POSITIONS crystal
Ba 0.000 0.000 0.000
Ca 0.375 0.375 0.375
Ca 0.500 0.500 0.500
Ca 0.874 0.874 0.874
Al 0.188 0.188 0.188
Al 0.435 0.435 0.933
Al 0.435 0.933 0.435
Al 0.441 0.939 0.939
Al 0.687 0.687 0.687
Al 0.933 0.435 0.435
Al 0.939 0.441 0.939
Al 0.939 0.939 0.441

=====

! LaScTl4, relaxed, DFT PBE; values from VASP
! Energy relative to the elements = -0.025 eV/atom
! Space-group type = F-43m (216)
&SYSTEM
  ibrav = 0, nat = 6, ntyp = 3
/
ATOMIC_SPECIES
La 138.91 La.upf
Sc 44.96 Sc.upf
Tl 204.38 Tl.upf
CELL_PARAMETERS angstrom
0.000 4.404 4.404
4.404 0.000 4.404
4.404 4.404 0.000
ATOMIC_POSITIONS crystal
La 0.000 0.000 0.000
Sc 0.750 0.750 0.750
Tl 0.375 0.375 0.375
Tl 0.375 0.375 0.874
Tl 0.375 0.874 0.375
Tl 0.874 0.375 0.375

=====

! TmCd2Au, relaxed, DFT PBE; values from VASP
! Energy relative to the elements = -0.386 eV/atom
! Space-group type = P4/mmm (123)
&SYSTEM
  ibrav = 0, nat = 4, ntyp = 3
/
ATOMIC_SPECIES
Tm 168.93 Tm.upf
Cd 112.41 Cd.upf
Au 196.97 Au.upf
CELL_PARAMETERS angstrom
4.273 0.000 0.000
0.000 4.273 0.000
0.000 0.000 4.895
ATOMIC_POSITIONS crystal
Tm 0.000 0.000 0.000
Cd 0.000 0.500 0.500
Cd 0.500 0.000 0.500
Au 0.500 0.500 0.000

=====

! Sm4SbPS2, relaxed, DFT PBE; values from VASP
! Energy relative to the elements, uncorrected = -1.68 eV per atom
! Space-group type = P2/m (10)
&SYSTEM
  ibrav = 0, nat = 8, ntyp = 4
/
ATOMIC_SPECIES
Sm 150.36 Sm.upf
Sb 121.76 Sb.upf
P 30.97 P.upf
S 32.06 S.upf
CELL_PARAMETERS angstrom
7.152 0.000 0.000
0.000 4.157 0.000
-2.434 0.000 6.855
ATOMIC_POSITIONS crystal
Sm 0.237 0.000 0.229
Sm 0.249 0.500 0.764
Sm 0.751 0.500 0.236
Sm 0.763 0.000 0.771
Sb 0.500 0.500 0.500
P 0.500 0.000 0.000
S 0.000 0.000 0.500
S 0.000 0.500 0.000

=====

! SiPBr2, relaxed, DFT PBE; values from VASP
! Energy relative to the elements, uncorrected = 0.86 eV per atom
! Space-group type = Fm-3m (225)
! Energy relative to the lowest polymorph listed for this composition = 1.0484 eV per atom
&SYSTEM
  ibrav = 0, nat = 4, ntyp = 3
/
ATOMIC_SPECIES
Si 28.09 Si.upf
P 30.97 P.upf
Br 79.90 Br.upf
CELL_PARAMETERS angstrom
0.000 3.494 3.494
3.494 0.000 3.494
3.494 3.494 0.000
ATOMIC_POSITIONS crystal
Si 0.000 0.000 0.000
P 0.500 0.500 0.500
Br 0.250 0.250 0.250
Br 0.750 0.750 0.750

=====

! Sn2OsPb, relaxed, DFT PBE; values from VASP
! Energy relative to the elements = 0.660 eV/atom
! Space-group type = I-42d (122)
&SYSTEM
  ibrav = 0, nat = 8, ntyp = 3
/
ATOMIC_SPECIES
Sn 118.71 Sn.upf
Os 190.23 Os.upf
Pb 207.20 Pb.upf
CELL_PARAMETERS angstrom
-2.624 2.624 8.404
2.624 -2.624 8.404
2.624 2.624 -8.404
ATOMIC_POSITIONS crystal
Sn 0.031 0.625 0.906
Sn 0.375 0.281 0.406
Sn 0.719 0.125 0.094
Sn 0.875 0.969 0.594
Os 0.000 0.000 0.000
Os 0.750 0.250 0.500
Pb 0.250 0.750 0.500
Pb 0.500 0.500 0.000